1.
PSe3F, relaxed, DFT GGA-PBE; total moment = 0.0 μB/cell; uncorrected energy = -13.62 eV per formula unit; crystal system = cubic; raw formation energy = 0.82 eV/atom; SG = Pm-3m
1.0
4.617 0.000 0.000
0.000 4.617 0.000
0.000 0.000 4.617
P Se F
1 3 1
Direct
0.000 0.000 0.000
0.000 0.500 0.500
0.500 0.000 0.500
0.500 0.500 0.000
0.500 0.500 0.500



2.
PSe2F, relaxed, DFT GGA-PBE; total moment = 0.0 μB/cell; uncorrected energy = -13.98 eV per formula unit; crystal system = cubic; raw formation energy = 0.07 eV/atom; SG = Fm-3m
1.0
0.000 3.162 3.162
3.162 0.000 3.162
3.162 3.162 0.000
P Se F
1 2 1
Direct
0.000 0.000 0.000
0.250 0.250 0.250
0.750 0.750 0.750
0.500 0.500 0.500



3.
P3SeF, relaxed, DFT GGA-PBE; total moment = 0.0 μB/cell; uncorrected energy = -16.18 eV per formula unit; crystal system = cubic; raw formation energy = 1.08 eV/atom; SG = Pm-3m
1.0
4.776 0.000 0.000
0.000 4.776 0.000
0.000 0.000 4.776
P Se F
3 1 1
Direct
0.000 0.000 0.500
0.000 0.500 0.000
0.500 0.000 0.000
0.000 0.000 0.000
0.500 0.500 0.500